1.
VASP calculation (PBEsol) on CuRe2Tc after structural relaxation.

Computed properties:
- Total moment: 0.00 μB/f.u.
- ΔH_f (0 K): 26 kJ per mole of atoms
- Energy: -10.296 eV per atom
- N(E_F): 7.724 states/eV per cell
- Excess energy over the best structure of this formula in the dataset: 0.000 eV/atom

Cell lengths 5.3098, 7.6119, 2.7208 Å; angles 90.00, 90.00, 90.00 degrees
Space group Cmmm (No. 65)
Inequivalent atoms, fractional coordinates:
1 Cu 0.0000 0.0000 0.0000 (multiplicity 2)
2 Re 0.2500 0.2500 0.5000 (multiplicity 4)
3 Tc 0.0000 0.5000 0.0000 (multiplicity 2)


2.
VASP calculation (PBEsol) on Cu2ReTc after structural relaxation.

Computed properties:
- Total moment: 0.00 μB/f.u.
- ΔH_f (0 K): 30 kJ per mole of atoms
- Energy: -8.011 eV per atom
- N(E_F): 4.058 states/eV per cell
- Excess energy over the best structure of this formula in the dataset: 0.000 eV/atom

Cell lengths 5.0908, 7.9614, 2.5506 Å; angles 90.00, 90.00, 90.00 degrees
Space group Cmmm (No. 65)
Inequivalent atoms, fractional coordinates:
1 Cu 0.2500 0.2500 0.0000 (multiplicity 4)
2 Re 0.0000 0.0000 0.5000 (multiplicity 2)
3 Tc 0.0000 0.5000 0.5000 (multiplicity 2)


3.
VASP calculation (PBEsol) on CuReTc after structural relaxation.

Computed properties:
- Total moment: 0.00 μB/f.u.
- ΔH_f (0 K): 18 kJ per mole of atoms
- Energy: -9.459 eV per atom
- N(E_F): 3.432 states/eV per cell

Cell lengths 3.1183, 3.1183, 8.2568 Å; angles 90.00, 90.00, 90.00 degrees
Space group I4mm (No. 107)
Inequivalent atoms, fractional coordinates:
1 Cu 0.0000 0.0000 0.0000 (multiplicity 2)
2 Re 0.0000 0.0000 0.6677 (multiplicity 2)
3 Tc 0.0000 0.0000 0.3320 (multiplicity 2)


4.
VASP calculation (PBEsol) on CuRe2Tc after structural relaxation.

Computed properties:
- Total moment: 0.00 μB/f.u.
- ΔH_f (0 K): 34 kJ per mole of atoms
- Energy: -10.210 eV per atom
- N(E_F): 3.902 states/eV per cell
- Excess energy over the best structure of this formula in the dataset: 0.086 eV/atom

Cell lengths 3.0981, 3.0981, 5.7044 Å; angles 90.00, 90.00, 90.00 degrees
Space group P4/mmm (No. 123)
Inequivalent atoms, fractional coordinates:
1 Cu 0.0000 0.0000 0.0000 (multiplicity 1)
2 Re 0.5000 0.5000 0.2267 (multiplicity 2)
3 Tc 0.0000 0.0000 0.5000 (multiplicity 1)


5.
VASP calculation (PBEsol) on CuReTe2 after structural relaxation.

Computed properties:
- Total moment: 0.00 μB/f.u.
- Energy: -5.650 eV per atom
- N(E_F): 2.437 states/eV per cell
- Raw formation energy: 530 meV/atom

Cell lengths 3.2214, 3.2214, 7.0646 Å; angles 90.00, 90.00, 90.00 degrees
Space group P4/mmm (No. 123)
Inequivalent atoms, fractional coordinates:
1 Cu 0.0000 0.0000 0.0000 (multiplicity 1)
2 Re 0.0000 0.0000 0.5000 (multiplicity 1)
3 Te 0.5000 0.5000 0.2600 (multiplicity 2)


6.
VASP calculation (PBEsol) on Cu2ReTe after structural relaxation.

Computed properties:
- Total moment: 0.48 μB/f.u.
- Energy: -5.873 eV per atom
- N(E_F): 4.520 states/eV per cell
- Raw formation energy: 509 meV/atom

Cell lengths 3.8335, 3.8335, 7.9610 Å; angles 90.00, 90.00, 90.00 degrees
Space group I-4m2 (No. 119)
Inequivalent atoms, fractional coordinates:
1 Cu 0.0000 0.0000 0.0000 (multiplicity 2)
2 Cu 0.0000 0.5000 0.2500 (multiplicity 2)
3 Re 0.0000 0.0000 0.5000 (multiplicity 2)
4 Te 0.0000 0.5000 0.7500 (multiplicity 2)


7.
VASP calculation (PBEsol) on Cu2ReTe after structural relaxation.

Computed properties:
- Total moment: 0.00 μB/f.u.
- Energy: -5.975 eV per atom
- N(E_F): 2.349 states/eV per cell
- Raw formation energy: 407 meV/atom

Cell lengths 3.2703, 3.2703, 5.5888 Å; angles 90.00, 90.00, 90.00 degrees
Space group P4mm (No. 99)
Inequivalent atoms, fractional coordinates:
1 Cu 0.0000 0.0000 0.0000 (multiplicity 1)
2 Cu 0.5000 0.5000 0.1885 (multiplicity 1)
3 Re 0.0000 0.0000 0.4579 (multiplicity 1)
4 Te 0.5000 0.5000 0.7026 (multiplicity 1)


8.
VASP calculation (PBEsol) on Ti3CuRe after structural relaxation.

Computed properties:
- Total moment: 0.02 μB/f.u.
- ΔH_f (0 K): 96 kJ per mole of atoms
- Energy: -7.533 eV per atom
- N(E_F): 7.253 states/eV per cell

Cell lengths 4.4086, 4.4086, 4.4086 Å; angles 90.00, 90.00, 90.00 degrees
Space group Pm-3m (No. 221)
Inequivalent atoms, fractional coordinates:
1 Ti 0.0000 0.0000 0.5000 (multiplicity 3)
2 Cu 0.0000 0.0000 0.0000 (multiplicity 1)
3 Re 0.5000 0.5000 0.5000 (multiplicity 1)


9.
VASP calculation (PBEsol) on TlCu2Re after structural relaxation.

Computed properties:
- Total moment: 0.00 μB/f.u.
- ΔH_f (0 K): 59 kJ per mole of atoms
- Energy: -5.548 eV per atom
- N(E_F): 2.046 states/eV per cell
- Excess energy over the best structure of this formula in the dataset: 0.024 eV/atom

Cell lengths 4.0198, 4.0198, 3.6014 Å; angles 90.00, 90.00, 90.00 degrees
Space group P4/mmm (No. 123)
Inequivalent atoms, fractional coordinates:
1 Tl 0.0000 0.0000 0.0000 (multiplicity 1)
2 Cu 0.0000 0.5000 0.5000 (multiplicity 2)
3 Re 0.5000 0.5000 0.0000 (multiplicity 1)


10.
VASP calculation (PBEsol) on TlCu2Re after structural relaxation.

Computed properties:
- Total moment: 0.00 μB/f.u.
- ΔH_f (0 K): 57 kJ per mole of atoms
- Energy: -5.572 eV per atom
- N(E_F): 2.501 states/eV per cell
- Excess energy over the best structure of this formula in the dataset: 0.000 eV/atom

Cell lengths 2.7862, 3.7940, 5.6883 Å; angles 90.00, 90.08, 90.00 degrees
Space group P2/m (No. 10)
Inequivalent atoms, fractional coordinates:
1 Tl 0.0000 0.0000 0.0000 (multiplicity 1)
2 Cu 0.4989 0.5000 0.2854 (multiplicity 2)
3 Re 0.0000 0.0000 0.5000 (multiplicity 1)


11.
VASP calculation (PBEsol) on Tl2CuRe after structural relaxation.

Computed properties:
- Total moment: 0.00 μB/f.u.
- ΔH_f (0 K): 91 kJ per mole of atoms
- Energy: -4.785 eV per atom
- N(E_F): 1.878 states/eV per cell
- Excess energy over the best structure of this formula in the dataset: 0.264 eV/atom

Cell lengths 2.8865, 4.7880, 5.3845 Å; angles 90.00, 90.00, 90.00 degrees
Space group Pmmm (No. 47)
Inequivalent atoms, fractional coordinates:
1 Tl 0.0000 0.0000 0.0000 (multiplicity 1)
2 Tl 0.5000 0.0000 0.5000 (multiplicity 1)
3 Cu 0.0000 0.5000 0.5000 (multiplicity 1)
4 Re 0.5000 0.5000 0.0000 (multiplicity 1)


12.
VASP calculation (PBEsol) on Tl2CuRe after structural relaxation.

Computed properties:
- Total moment: 0.00 μB/f.u.
- ΔH_f (0 K): 66 kJ per mole of atoms
- Energy: -5.049 eV per atom
- N(E_F): 3.161 states/eV per cell
- Excess energy over the best structure of this formula in the dataset: 0.000 eV/atom

Cell lengths 2.8942, 2.8942, 9.3485 Å; angles 90.00, 90.00, 90.00 degrees
Space group P4mm (No. 99)
Inequivalent atoms, fractional coordinates:
1 Tl 0.0000 0.0000 0.0000 (multiplicity 1)
2 Tl 0.5000 0.5000 0.3411 (multiplicity 1)
3 Cu 0.5000 0.5000 0.7593 (multiplicity 1)
4 Re 0.0000 0.0000 0.5934 (multiplicity 1)